[1]
Below is an optimized crystal structure of KErAg2Cl6, with properties calculated at the PBE level.

* ΔE_f (raw): -143.09 kJ/mol of atoms

Lattice parameters (Å, degrees): 7.0808 7.0850 7.6393 90.03 117.58 119.96
With the nearest neighbours (Å) after each atom.
Fractional positions:
1 K 0.0000 0.0000 0.0000  6 Cl 3.06-3.23
2 Er 0.9701 0.4852 0.4548  6 Cl 2.64-2.65
3 Ag 0.5782 0.2892 0.8670  6 Cl 2.74-2.94
4 Ag 0.6071 0.8041 0.4110  6 Cl 2.71-2.92
5 Cl 0.1047 0.4459 0.1947  1 Er 2.64, 2 Ag 2.71-2.94
6 Cl 0.1106 0.2361 0.6672  1 Er 2.65, 2 Ag 2.74-2.92
7 Cl 0.4315 0.8745 0.6670  1 Er 2.65, 2 Ag 2.74-2.91
8 Cl 0.5365 0.0911 0.1951  1 Er 2.64, 2 Ag 2.71-2.93
9 Cl 0.7496 0.6594 0.1954  1 Er 2.64, 2 Ag 2.71-2.94
10 Cl 0.7931 0.5572 0.6675  1 Er 2.64, 2 Ag 2.74-2.92

[2]
Below is an optimized crystal structure of KEr2AgCl8, with properties calculated at the PBE level.

* ΔE_f (raw): -183.61 kJ/mol of atoms

Lattice parameters (Å, degrees): 6.6018 8.1379 6.8669 90.00 95.58 90.00
With the nearest neighbours (Å) after each atom.
Fractional positions:
1 K 0.0000 0.0000 0.0000  6 Cl 2.99-3.32
2 Er 0.5000 0.2565 0.5000  6 Cl 2.58-2.70
3 Er 0.5000 0.7435 0.5000  6 Cl 2.58-2.70
4 Ag 0.0000 0.5000 0.0000  4 Cl 2.72
5 Cl 0.2519 0.2736 0.1859  1 Er 2.58, 1 Ag 2.72
6 Cl 0.2519 0.7264 0.1859  1 Er 2.58, 1 Ag 2.72
7 Cl 0.2896 0.5000 0.6436  2 Er 2.66
8 Cl 0.2981 0.0000 0.6376  2 Er 2.70
9 Cl 0.7019 0.0000 0.3624  2 Er 2.70
10 Cl 0.7104 0.5000 0.3564  2 Er 2.66
11 Cl 0.7481 0.2736 0.8141  1 Er 2.58, 1 Ag 2.72
12 Cl 0.7481 0.7264 0.8141  1 Er 2.58, 1 Ag 2.72

[3]
Below is an optimized crystal structure of KErAgCl5, with properties calculated at the PBE level.

* ΔE_f (raw): -169.65 kJ/mol of atoms

Lattice parameters (Å, degrees): 7.5765 7.5765 10.0386 102.13 102.13 110.00
With the nearest neighbours (Å) after each atom.
Fractional positions:
1 K 0.1546 0.8454 0.7500  5 Cl 3.21-3.39
2 K 0.8454 0.1546 0.2500  5 Cl 3.21-3.39
3 Er 0.5000 0.5000 0.0000  6 Cl 2.61-2.66
4 Er 0.5000 0.5000 0.5000  6 Cl 2.61-2.66
5 Ag 0.1888 0.8112 0.2500  4 Cl 2.58-2.62
6 Ag 0.8112 0.1888 0.7500  4 Cl 2.58-2.62
7 Cl 0.1368 0.2467 0.9397  1 Er 2.61, 1 Ag 2.62
8 Cl 0.1974 0.5826 0.4062  1 Ag 2.58, 1 Er 2.62
9 Cl 0.2467 0.1368 0.4397  1 Er 2.61, 1 Ag 2.62
10 Cl 0.4174 0.8026 0.0938  1 Ag 2.58, 1 Er 2.62
11 Cl 0.4280 0.5720 0.7500  2 Er 2.66
12 Cl 0.5720 0.4280 0.2500  2 Er 2.66
13 Cl 0.5826 0.1974 0.9062  1 Ag 2.58, 1 Er 2.62
14 Cl 0.7533 0.8632 0.5603  1 Er 2.61, 1 Ag 2.62
15 Cl 0.8026 0.4174 0.5938  1 Ag 2.58, 1 Er 2.62
16 Cl 0.8632 0.7533 0.0603  1 Er 2.61, 1 Ag 2.62

[4]
Below is an optimized crystal structure of Li2ErAgCl6, with properties calculated at the PBE level.

* ΔE_f (raw): -165.13 kJ/mol of atoms

Lattice parameters (Å, degrees): 6.6332 6.6338 7.1766 90.03 117.48 119.97
With the nearest neighbours (Å) after each atom.
Fractional positions:
1 Li 0.0000 0.0000 0.0000  6 Cl 2.56-2.67
2 Li 0.0226 0.5109 0.5339  6 Cl 2.54-2.77
3 Er 0.6281 0.3140 0.9423  6 Cl 2.61-2.65
4 Ag 0.5910 0.7955 0.3871  4 Cl 2.66-2.98
5 Cl 0.1031 0.3758 0.2234  2 Li 2.56-2.76, 1 Er 2.65, 1 Ag 2.66
6 Cl 0.1388 0.2325 0.7325  2 Li 2.54-2.67, 1 Er 2.61
7 Cl 0.4959 0.1199 0.2235  2 Li 2.56-2.77, 1 Er 2.65, 1 Ag 2.66
8 Cl 0.4997 0.9062 0.7320  2 Li 2.54-2.67, 1 Er 2.61
9 Cl 0.8259 0.5935 0.7323  2 Li 2.54-2.67, 1 Er 2.61
10 Cl 0.8471 0.7273 0.2235  2 Li 2.56-2.77, 1 Er 2.65, 1 Ag 2.66

no.,DOS(E_F) (states/eV/cell),volume (Å³/cell)
1,0.000,280.6
2,0.000,367.2
3,0.000,503.8
4,0.000,231.5